# Pm7PrSm3, relaxed, DFT PBE
# **Energy of formation from the pure elements**: 0.213 eV per atom
# **E above lowest polymorph**: 0.39 eV/f.u.
# **Space-group type**: C2/m
data_Pm7PrSm3
_chemical_formula_sum 'Pm7 Pr1 Sm3'
_cell_length_a 6.485
_cell_length_b 7.835
_cell_length_c 7.831
_cell_angle_alpha 81.42
_cell_angle_beta 85.73
_cell_angle_gamma 85.70
_symmetry_space_group_name_H-M 'P 1'
_symmetry_Int_Tables_number 1
loop_
_symmetry_equiv_pos_as_xyz
'x,y,z'
loop_
_atom_site_label
_atom_site_type_symbol
_atom_site_fract_x
_atom_site_fract_y
_atom_site_fract_z
_atom_site_occupancy
Pm1 Pm 0.789 0.236 0.236 1
Pm2 Pm 0.739 0.923 0.574 1
Pm3 Pm 0.261 0.426 0.077 1
Pm4 Pm 0.739 0.574 0.923 1
Pm5 Pm 0.000 0.500 0.500 1
Pm6 Pm 0.261 0.077 0.426 1
Pm7 Pm 0.211 0.764 0.764 1
Pr1 Pr 0.500 0.500 0.500 1
Sm1 Sm 0.000 0.828 0.172 1
Sm2 Sm 0.500 0.000 0.000 1
Sm3 Sm 0.000 0.172 0.828 1



# Ce2TmThS4, relaxed, DFT PBE
# **Raw formation energy**: -15.73 eV/f.u.
# **Space-group type**: P2/m
data_Ce2TmThS4
_chemical_formula_sum 'Ce2 Tm1 Th1 S4'
_cell_length_a 3.973
_cell_length_b 6.948
_cell_length_c 6.869
_cell_angle_alpha 109.26
_cell_angle_beta 90.00
_cell_angle_gamma 90.00
_symmetry_space_group_name_H-M 'P 1'
_symmetry_Int_Tables_number 1
loop_
_symmetry_equiv_pos_as_xyz
'x,y,z'
loop_
_atom_site_label
_atom_site_type_symbol
_atom_site_fract_x
_atom_site_fract_y
_atom_site_fract_z
_atom_site_occupancy
Ce1 Ce 0.500 0.000 0.500 1
Ce2 Ce 0.000 0.500 0.500 1
Tm1 Tm 0.000 0.000 0.000 1
Th1 Th 0.500 0.500 0.000 1
S1 S 0.500 0.236 0.239 1
S2 S 0.500 0.764 0.761 1
S3 S 0.000 0.241 0.754 1
S4 S 0.000 0.759 0.246 1